1.
This record from Alexandria describes Pb2Au at its PBEsol-relaxed geometry. The functional is meta-GGA SCAN.

```
data_Pb2Au
_chemical_formula_sum 'Pb8 Au4'
_cell_length_a 7.417
_cell_length_b 4.579
_cell_length_c 8.948
_cell_angle_alpha 90.00
_cell_angle_beta 90.00
_cell_angle_gamma 90.00
_symmetry_space_group_name_H-M 'P n m a'
_symmetry_Int_Tables_number 62
_symmetry_space_group_name_Hall '-P 2ac 2n'
loop_
_atom_site_label
_atom_site_type_symbol
_atom_site_fract_x
_atom_site_fract_y
_atom_site_fract_z
Pb1 Pb 0.021 0.250 0.166
Pb2 Pb 0.144 0.250 0.574
Au1 Au 0.244 0.250 0.887
```

Output
formation enthalpy at 0 K = -75 meV/atom
mass density = 13.4 g/cm3


2.
This record from Alexandria describes AgHg2Br at its PBEsol-relaxed geometry. The functional is meta-GGA SCAN.

```
data_AgHg2Br
_chemical_formula_sum 'Ag3 Hg6 Br3'
_cell_length_a 3.6474
_cell_length_b 3.6474
_cell_length_c 24.4140
_cell_angle_alpha 90.00
_cell_angle_beta 90.00
_cell_angle_gamma 120.00
_symmetry_space_group_name_H-M 'R -3 m'
_symmetry_Int_Tables_number 166
_symmetry_space_group_name_Hall '-R 3 2"'
loop_
_atom_site_label
_atom_site_type_symbol
_atom_site_fract_x
_atom_site_fract_y
_atom_site_fract_z
Ag1 Ag 0.0000 0.0000 0.0000
Hg1 Hg 0.0000 0.0000 0.2556
Br1 Br 0.0000 0.0000 0.5000
```

Output
distance to the lowest polymorph of the same formula = 0.022 eV/atom
mass density = 10.4 g/cm3


3.
This record from Alexandria describes ZrMo2Ir at its PBEsol-relaxed geometry. The functional is meta-GGA SCAN.

```
data_ZrMo2Ir
_chemical_formula_sum 'Zr1 Mo2 Ir1'
_cell_length_a 3.208
_cell_length_b 3.208
_cell_length_c 6.333
_cell_angle_alpha 90.00
_cell_angle_beta 90.00
_cell_angle_gamma 90.00
_symmetry_space_group_name_H-M 'P 4 m m'
_symmetry_Int_Tables_number 99
_symmetry_space_group_name_Hall 'P 4 -2'
loop_
_atom_site_label
_atom_site_type_symbol
_atom_site_fract_x
_atom_site_fract_y
_atom_site_fract_z
Zr1 Zr 0.000 0.000 0.000
Mo1 Mo 0.000 0.000 0.507
Mo2 Mo 0.500 0.500 0.728
Ir1 Ir 0.500 0.500 0.249
```

Output
distance to the lowest polymorph of the same formula = 0.000 eV/atom
formation enthalpy at 0 K = -264 meV/atom
mass density = 12.1 g/cm3


4.
This record from Alexandria describes PtWAu2 at its PBEsol-relaxed geometry. The functional is meta-GGA SCAN.

```
data_PtWAu2
_chemical_formula_sum 'Pt1 W1 Au2'
_cell_length_a 2.813
_cell_length_b 2.813
_cell_length_c 8.085
_cell_angle_alpha 90.00
_cell_angle_beta 90.00
_cell_angle_gamma 90.00
_symmetry_space_group_name_H-M 'P 4 m m'
_symmetry_Int_Tables_number 99
_symmetry_space_group_name_Hall 'P 4 -2'
loop_
_atom_site_label
_atom_site_type_symbol
_atom_site_fract_x
_atom_site_fract_y
_atom_site_fract_z
Pt1 Pt 0.000 0.000 0.000
W1 W 0.500 0.500 0.224
Au1 Au 0.000 0.000 0.473
Au2 Au 0.500 0.500 0.738
```

Output
distance to the lowest polymorph of the same formula = 0.000 eV/atom
formation enthalpy at 0 K = -20 meV/atom
mass density = 20.1 g/cm3


5.
This record from Alexandria describes B2OsSe at its PBEsol-relaxed geometry. The functional is meta-GGA SCAN.

```
data_B2OsSe
_chemical_formula_sum 'B8 Os4 Se4'
_cell_length_a 4.850
_cell_length_b 4.850
_cell_length_c 9.499
_cell_angle_alpha 90.00
_cell_angle_beta 90.00
_cell_angle_gamma 90.00
_symmetry_space_group_name_H-M 'I -4 2 d'
_symmetry_Int_Tables_number 122
_symmetry_space_group_name_Hall 'I -4 2bw'
loop_
_atom_site_label
_atom_site_type_symbol
_atom_site_fract_x
_atom_site_fract_y
_atom_site_fract_z
B1 B 0.231 0.250 0.125
Os1 Os 0.000 0.000 0.000
Se1 Se 0.000 0.000 0.500
```

Output
raw total energy = -26.216 eV per atom
mass density = 8.6 g/cm3


6.
This record from Alexandria describes Si2CO at its PBEsol-relaxed geometry. The functional is meta-GGA SCAN.

```
data_Si2CO
_chemical_formula_sum 'Si8 C4 O4'
_cell_length_a 5.242
_cell_length_b 5.242
_cell_length_c 5.242
_cell_angle_alpha 90.00
_cell_angle_beta 90.00
_cell_angle_gamma 90.00
_symmetry_space_group_name_H-M 'F m -3 m'
_symmetry_Int_Tables_number 225
_symmetry_space_group_name_Hall '-F 4 2 3'
loop_
_atom_site_label
_atom_site_type_symbol
_atom_site_fract_x
_atom_site_fract_y
_atom_site_fract_z
Si1 Si 0.250 0.250 0.250
C1 C 0.000 0.000 0.000
O1 O 0.000 0.000 0.500
```

Output
raw total energy = -8.228 eV per atom
mass density = 3.9 g/cm3


7.
This record from Alexandria describes CuIrS2 at its PBEsol-relaxed geometry. The functional is meta-GGA SCAN.

```
data_CuIrS2
_chemical_formula_sum 'Cu3 Ir3 S6'
_cell_length_a 3.5726
_cell_length_b 3.5726
_cell_length_c 19.6357
_cell_angle_alpha 90.00
_cell_angle_beta 90.00
_cell_angle_gamma 120.00
_symmetry_space_group_name_H-M 'R -3 m'
_symmetry_Int_Tables_number 166
_symmetry_space_group_name_Hall '-R 3 2"'
loop_
_atom_site_label
_atom_site_type_symbol
_atom_site_fract_x
_atom_site_fract_y
_atom_site_fract_z
Cu1 Cu 0.0000 0.0000 0.0000
Ir1 Ir 0.0000 0.0000 0.5000
S1 S 0.0000 0.0000 0.1084
```

Output
raw total energy = -26.750 eV per atom
mass density = 7.3 g/cm3


8.
This record from Alexandria describes CoMo2Pt at its PBEsol-relaxed geometry. The functional is meta-GGA SCAN.

```
data_CoMo2Pt
_chemical_formula_sum 'Co1 Mo2 Pt1'
_cell_length_a 2.667
_cell_length_b 2.667
_cell_length_c 7.681
_cell_angle_alpha 90.00
_cell_angle_beta 90.00
_cell_angle_gamma 90.00
_symmetry_space_group_name_H-M 'P 4/m m m'
_symmetry_Int_Tables_number 123
_symmetry_space_group_name_Hall '-P 4 2'
loop_
_atom_site_label
_atom_site_type_symbol
_atom_site_fract_x
_atom_site_fract_y
_atom_site_fract_z
Co1 Co 0.000 0.000 0.000
Mo1 Mo 0.500 0.500 0.230
Pt1 Pt 0.000 0.000 0.500
```

Output
distance to the lowest polymorph of the same formula = 0.020 eV/atom
formation enthalpy at 0 K = -145 meV/atom
mass density = 13.5 g/cm3


9.
This record from Alexandria describes Li2NiP at its PBEsol-relaxed geometry. The functional is meta-GGA SCAN.

```
data_Li2NiP
_chemical_formula_sum 'Li6 Ni3 P3'
_cell_length_a 3.7873
_cell_length_b 3.7873
_cell_length_c 12.1832
_cell_angle_alpha 90.00
_cell_angle_beta 90.00
_cell_angle_gamma 120.00
_symmetry_space_group_name_H-M 'R 3 m'
_symmetry_Int_Tables_number 160
_symmetry_space_group_name_Hall 'R 3 -2"'
loop_
_atom_site_label
_atom_site_type_symbol
_atom_site_fract_x
_atom_site_fract_y
_atom_site_fract_z
Li1 Li 0.0000 0.0000 0.0000
Li2 Li 0.0000 0.0000 0.2218
Ni1 Ni 0.0000 0.0000 0.4461
P1 P 0.0000 0.0000 0.7769
```

Output
formation enthalpy at 0 K = -624 meV/atom
mass density = 3.4 g/cm3


10.
This record from Alexandria describes HOsSe3 at its PBEsol-relaxed geometry. The functional is meta-GGA SCAN.

```
data_HOsSe3
_chemical_formula_sum 'H1 Os1 Se3'
_cell_length_a 4.127
_cell_length_b 4.127
_cell_length_c 4.127
_cell_angle_alpha 90.00
_cell_angle_beta 90.00
_cell_angle_gamma 90.00
_symmetry_space_group_name_H-M 'P m -3 m'
_symmetry_Int_Tables_number 221
_symmetry_space_group_name_Hall '-P 4 2 3'
loop_
_atom_site_label
_atom_site_type_symbol
_atom_site_fract_x
_atom_site_fract_y
_atom_site_fract_z
H1 H 0.000 0.000 0.000
Os1 Os 0.500 0.500 0.500
Se1 Se 0.000 0.000 0.500
```

Output
raw total energy = -25.719 eV per atom
mass density = 10.1 g/cm3


11.
This record from Alexandria describes BeAl2GeSe at its PBEsol-relaxed geometry. The functional is meta-GGA SCAN.

```
data_BeAl2GeSe
_chemical_formula_sum 'Be1 Al2 Ge1 Se1'
_cell_length_a 4.805
_cell_length_b 4.805
_cell_length_c 5.073
_cell_angle_alpha 90.00
_cell_angle_beta 90.00
_cell_angle_gamma 90.00
_symmetry_space_group_name_H-M 'P 4/m m m'
_symmetry_Int_Tables_number 123
_symmetry_space_group_name_Hall '-P 4 2'
loop_
_atom_site_label
_atom_site_type_symbol
_atom_site_fract_x
_atom_site_fract_y
_atom_site_fract_z
Be1 Be 0.000 0.000 0.000
Al1 Al 0.000 0.500 0.500
Ge1 Ge 0.500 0.500 0.500
Se1 Se 0.500 0.500 0.000
```

Output
raw total energy = -10.835 eV per atom
mass density = 3.0 g/cm3


12.
This record from Alexandria describes TcW2Au at its PBEsol-relaxed geometry. The functional is meta-GGA SCAN.

```
data_TcW2Au
_chemical_formula_sum 'Tc2 W4 Au2'
_cell_length_a 9.218
_cell_length_b 2.882
_cell_length_c 4.741
_cell_angle_alpha 90.00
_cell_angle_beta 100.96
_cell_angle_gamma 90.00
_symmetry_space_group_name_H-M 'C 1 2/m 1'
_symmetry_Int_Tables_number 12
_symmetry_space_group_name_Hall '-C 2y'
loop_
_atom_site_label
_atom_site_type_symbol
_atom_site_fract_x
_atom_site_fract_y
_atom_site_fract_z
Tc1 Tc 0.000 0.000 0.000
W1 W 0.247 0.500 0.244
Au1 Au 0.000 0.500 0.500
```

Output
distance to the lowest polymorph of the same formula = 0.071 eV/atom
formation enthalpy at 0 K = 315 meV/atom
mass density = 17.8 g/cm3